A plane-wave DFT calculation with SCAN was carried out for NbRh at its PBEsol-relaxed geometry.

The structure belongs to space group P2/m (No. 10); the cell edges are 4.844, 2.823 and 6.991 Å and the angles 90.00°, 104.05° and 90.00°. The asymmetric unit holds Nb at (0.000, 0.000, 0.000), Nb at (0.252, 0.000, 0.665), Rh at (0.258, 0.500, 0.333) and Rh at (0.500, 0.500, 0.000).

As for the total energy: -203.38 eV/cell. The formation energy is -0.45 eV per atom.